# 1
# GGA-PBE HfZnSi2Rh, relaxed
data_HfZnSi2Rh
_chemical_formula_sum 'Hf1 Zn1 Si2 Rh1'
_cell_length_a 4.520
_cell_length_b 4.520
_cell_length_c 4.682
_cell_angle_alpha 90.00
_cell_angle_beta 90.00
_cell_angle_gamma 90.00
_symmetry_space_group_name_H-M 'P 4/m m m'
_symmetry_Int_Tables_number 123
_symmetry_space_group_name_Hall '-P 4 2'
loop_
_atom_site_label
_atom_site_type_symbol
_atom_site_fract_x
_atom_site_fract_y
_atom_site_fract_z
Hf1 Hf 0.000 0.000 0.000
Zn1 Zn 0.500 0.500 0.000
Si1 Si 0.000 0.500 0.500
Rh1 Rh 0.500 0.500 0.500
# E_tot: -27.9 eV/cell
# magnetization: 0.00 μB/f.u.
# density: 6.99 g/cm3

=====

# 2
# GGA-PBE Hf2ZrSiRh, relaxed
data_Hf2ZrSiRh
_chemical_formula_sum 'Hf2 Zr1 Si1 Rh1'
_cell_length_a 4.988
_cell_length_b 4.988
_cell_length_c 4.837
_cell_angle_alpha 90.00
_cell_angle_beta 90.00
_cell_angle_gamma 90.00
_symmetry_space_group_name_H-M 'P 4/m m m'
_symmetry_Int_Tables_number 123
_symmetry_space_group_name_Hall '-P 4 2'
loop_
_atom_site_label
_atom_site_type_symbol
_atom_site_fract_x
_atom_site_fract_y
_atom_site_fract_z
Hf1 Hf 0.000 0.500 0.000
Zr1 Zr 0.000 0.000 0.000
Si1 Si 0.000 0.000 0.500
Rh1 Rh 0.500 0.500 0.500
# E_tot: -34.8 eV/cell
# magnetization: 0.00 μB/f.u.
# density: 7.99 g/cm3

=====

# 3
# GGA-PBE SmHf4Rh5, relaxed
data_SmHf4Rh5
_chemical_formula_sum 'Sm1 Hf4 Rh5'
_cell_length_a 3.285
_cell_length_b 3.285
_cell_length_c 17.004
_cell_angle_alpha 90.00
_cell_angle_beta 90.00
_cell_angle_gamma 90.00
_symmetry_space_group_name_H-M 'P 4/m m m'
_symmetry_Int_Tables_number 123
_symmetry_space_group_name_Hall '-P 4 2'
loop_
_atom_site_label
_atom_site_type_symbol
_atom_site_fract_x
_atom_site_fract_y
_atom_site_fract_z
Sm1 Sm 0.000 0.000 0.000
Hf1 Hf 0.000 0.000 0.210
Hf2 Hf 0.000 0.000 0.404
Rh1 Rh 0.500 0.500 0.128
Rh2 Rh 0.500 0.500 0.313
Rh3 Rh 0.500 0.500 0.500
# magnetization: 0.00 μB/f.u.
# density: 12.48 g/cm3
# formation energy: -0.87 eV per atom

=====

# 4
# GGA-PBE SmHfRh4, relaxed
data_SmHfRh4
_chemical_formula_sum 'Sm4 Hf4 Rh16'
_cell_length_a 7.483
_cell_length_b 7.483
_cell_length_c 7.483
_cell_angle_alpha 90.00
_cell_angle_beta 90.00
_cell_angle_gamma 90.00
_symmetry_space_group_name_H-M 'F -4 3 m'
_symmetry_Int_Tables_number 216
_symmetry_space_group_name_Hall 'F -4 2 3'
loop_
_atom_site_label
_atom_site_type_symbol
_atom_site_fract_x
_atom_site_fract_y
_atom_site_fract_z
Sm1 Sm 0.000 0.000 0.000
Hf1 Hf 0.250 0.250 0.750
Rh1 Rh 0.125 0.125 0.375
# magnetization: 0.00 μB/f.u.
# density: 11.74 g/cm3
# formation energy: -0.59 eV per atom

=====

# 5
# GGA-PBE SmHfRh, relaxed
data_SmHfRh
_chemical_formula_sum 'Sm2 Hf2 Rh2'
_cell_length_a 3.395
_cell_length_b 3.395
_cell_length_c 11.753
_cell_angle_alpha 90.00
_cell_angle_beta 90.00
_cell_angle_gamma 90.00
_symmetry_space_group_name_H-M 'I 4 m m'
_symmetry_Int_Tables_number 107
_symmetry_space_group_name_Hall 'I 4 -2'
loop_
_atom_site_label
_atom_site_type_symbol
_atom_site_fract_x
_atom_site_fract_y
_atom_site_fract_z
Sm1 Sm 0.000 0.000 0.000
Hf1 Hf 0.000 0.000 0.285
Rh1 Rh 0.000 0.000 0.679
# offset from the most stable computed form: 0.1633 eV/atom
# magnetization: 0.57 μB/f.u.
# density: 10.58 g/cm3
# formation energy: -0.44 eV per atom

=====

# 6
# GGA-PBE SmHfRh, relaxed
data_SmHfRh
_chemical_formula_sum 'Sm2 Hf2 Rh2'
_cell_length_a 4.611
_cell_length_b 4.611
_cell_length_c 6.679
_cell_angle_alpha 90.00
_cell_angle_beta 90.00
_cell_angle_gamma 90.00
_symmetry_space_group_name_H-M 'P 4/n m m'
_symmetry_Int_Tables_number 129
loop_
_symmetry_equiv_pos_as_xyz
'x,y,z'
'-x,-y,-z'
'-y+1/2,x,z'
'y+1/2,-x,-z'
'-x+1/2,-y+1/2,z'
'x+1/2,y+1/2,-z'
'y,-x+1/2,z'
'-y,x+1/2,-z'
'x+1/2,-y,-z'
'-x+1/2,y,z'
'-y,-x,-z'
'y,x,z'
'-x,y+1/2,-z'
'x,-y+1/2,z'
'y+1/2,x+1/2,-z'
'-y+1/2,-x+1/2,z'
loop_
_atom_site_label
_atom_site_type_symbol
_atom_site_fract_x
_atom_site_fract_y
_atom_site_fract_z
Sm1 Sm 0.250 0.250 0.129
Hf1 Hf 0.250 0.750 0.500
Rh1 Rh 0.250 0.250 0.702
# offset from the most stable computed form: 0.0000 eV/atom
# magnetization: 0.00 μB/f.u.
# density: 10.10 g/cm3
# formation energy: -0.61 eV per atom

=====

# 7
# GGA-PBE HfSnRh2, relaxed
data_HfSnRh2
_chemical_formula_sum 'Hf1 Sn1 Rh2'
_cell_length_a 4.330
_cell_length_b 4.330
_cell_length_c 3.677
_cell_angle_alpha 90.00
_cell_angle_beta 90.00
_cell_angle_gamma 90.00
_symmetry_space_group_name_H-M 'P 4/m m m'
_symmetry_Int_Tables_number 123
_symmetry_space_group_name_Hall '-P 4 2'
loop_
_atom_site_label
_atom_site_type_symbol
_atom_site_fract_x
_atom_site_fract_y
_atom_site_fract_z
Hf1 Hf 0.000 0.000 0.000
Sn1 Sn 0.500 0.500 0.000
Rh1 Rh 0.000 0.500 0.500
# magnetization: 0.00 μB/f.u.
# density: 12.11 g/cm3
# formation energy: -0.70 eV per atom

=====

# 8
# GGA-PBE HfSnRh, relaxed
data_HfSnRh
_chemical_formula_sum 'Hf2 Sn2 Rh2'
_cell_length_a 4.221
_cell_length_b 4.221
_cell_length_c 6.678
_cell_angle_alpha 90.00
_cell_angle_beta 90.00
_cell_angle_gamma 90.00
_symmetry_space_group_name_H-M 'P 4/n m m'
_symmetry_Int_Tables_number 129
loop_
_symmetry_equiv_pos_as_xyz
'x,y,z'
'-x,-y,-z'
'-y+1/2,x,z'
'y+1/2,-x,-z'
'-x+1/2,-y+1/2,z'
'x+1/2,y+1/2,-z'
'y,-x+1/2,z'
'-y,x+1/2,-z'
'x+1/2,-y,-z'
'-x+1/2,y,z'
'-y,-x,-z'
'y,x,z'
'-x,y+1/2,-z'
'x,-y+1/2,z'
'y+1/2,x+1/2,-z'
'-y+1/2,-x+1/2,z'
loop_
_atom_site_label
_atom_site_type_symbol
_atom_site_fract_x
_atom_site_fract_y
_atom_site_fract_z
Hf1 Hf 0.250 0.250 0.219
Sn1 Sn 0.250 0.250 0.776
Rh1 Rh 0.250 0.750 0.500
# magnetization: 0.00 μB/f.u.
# density: 11.17 g/cm3
# formation energy: -0.59 eV per atom

=====

# 9
# GGA-PBE HfSnRh2, relaxed
data_HfSnRh2
_chemical_formula_sum 'Hf4 Sn4 Rh8'
_cell_length_a 7.167
_cell_length_b 7.167
_cell_length_c 5.953
_cell_angle_alpha 90.00
_cell_angle_beta 90.00
_cell_angle_gamma 90.00
_symmetry_space_group_name_H-M 'I -4 2 d'
_symmetry_Int_Tables_number 122
_symmetry_space_group_name_Hall 'I -4 2bw'
loop_
_atom_site_label
_atom_site_type_symbol
_atom_site_fract_x
_atom_site_fract_y
_atom_site_fract_z
Hf1 Hf 0.000 0.000 0.000
Sn1 Sn 0.000 0.000 0.500
Rh1 Rh 0.235 0.250 0.125
# magnetization: 0.00 μB/f.u.
# density: 10.93 g/cm3
# formation energy: -0.27 eV per atom

=====

# 10
# GGA-PBE Hf8Sn2Rh3, relaxed
data_Hf8Sn2Rh3
_chemical_formula_sum 'Hf16 Sn4 Rh6'
_cell_length_a 16.219
_cell_length_b 6.432
_cell_length_c 5.293
_cell_angle_alpha 90.00
_cell_angle_beta 90.95
_cell_angle_gamma 90.00
_symmetry_space_group_name_H-M 'C 1 2/m 1'
_symmetry_Int_Tables_number 12
_symmetry_space_group_name_Hall '-C 2y'
loop_
_atom_site_label
_atom_site_type_symbol
_atom_site_fract_x
_atom_site_fract_y
_atom_site_fract_z
Hf1 Hf 0.048 0.000 0.258
Hf2 Hf 0.127 0.246 0.710
Hf3 Hf 0.159 0.500 0.214
Sn1 Sn 0.221 0.000 0.265
Rh1 Rh 0.000 0.310 0.000
Rh2 Rh 0.000 0.500 0.500
# magnetization: 0.00 μB/f.u.
# density: 11.88 g/cm3
# formation energy: -0.29 eV per atom

=====

# 11
# GGA-PBE Hf4Sn2Rh, relaxed
data_Hf4Sn2Rh
_chemical_formula_sum 'Hf8 Sn4 Rh2'
_cell_length_a 4.836
_cell_length_b 4.836
_cell_length_c 15.120
_cell_angle_alpha 90.00
_cell_angle_beta 90.00
_cell_angle_gamma 90.00
_symmetry_space_group_name_H-M 'I 4/m m m'
_symmetry_Int_Tables_number 139
_symmetry_space_group_name_Hall '-I 4 2'
loop_
_atom_site_label
_atom_site_type_symbol
_atom_site_fract_x
_atom_site_fract_y
_atom_site_fract_z
Hf1 Hf 0.000 0.000 0.170
Hf2 Hf 0.000 0.500 0.000
Sn1 Sn 0.000 0.000 0.362
Rh1 Rh 0.000 0.000 0.000
# magnetization: 0.00 μB/f.u.
# density: 9.90 g/cm3
# formation energy: 0.05 eV per atom

=====

# 12
# GGA-PBE HfSn2Rh2, relaxed
data_HfSn2Rh2
_chemical_formula_sum 'Hf2 Sn4 Rh4'
_cell_length_a 7.539
_cell_length_b 7.539
_cell_length_c 3.263
_cell_angle_alpha 90.00
_cell_angle_beta 90.00
_cell_angle_gamma 90.00
_symmetry_space_group_name_H-M 'P 4/m b m'
_symmetry_Int_Tables_number 127
_symmetry_space_group_name_Hall '-P 4 2ab'
loop_
_atom_site_label
_atom_site_type_symbol
_atom_site_fract_x
_atom_site_fract_y
_atom_site_fract_z
Hf1 Hf 0.000 0.000 0.000
Sn1 Sn 0.159 0.341 0.500
Rh1 Rh 0.138 0.638 0.000
# magnetization: 0.00 μB/f.u.
# density: 11.13 g/cm3
# formation energy: -0.40 eV per atom